Entry 1:
Here is a geometry-optimized Li3Pd2O4 structure from Alexandria via LeMat-Bulk. Energies are from GGA-PBE.

```
Li3Pd2O4
1.0
5.5693 0.1762 0.1262
0.5961 5.9288 -0.5446
0.5961 1.3947 5.7881
Li Pd O
6 4 8
Cartesian
0.6027 0.5814 1.0402
3.3741 6.2395 5.0913
6.1588 6.9183 4.3294
3.3873 1.2602 0.2783
1.9884 4.4273 1.6456
4.7730 3.0725 3.7240
2.1537 1.9347 2.9506
1.8231 3.9950 4.4257
4.6078 5.5650 2.4190
4.9383 3.5048 0.9439
3.1201 5.9613 1.0550
0.8567 4.4921 0.0031
3.6414 1.5384 4.3146
5.9047 3.0077 5.3665
5.8981 2.2746 2.3269
3.6480 4.6522 4.0292
0.8633 5.2252 3.0427
3.1135 2.8476 1.3404
```

**Crystal system**: monoclinic
**Symmetry**: C2/c
**Magnetization**: 0.000 μB per formula unit

=====

Entry 2:
Here is a geometry-optimized LiPdO2 structure from Alexandria via LeMat-Bulk. Energies are from GGA-PBE.

```
LiPdO2
1.0
4.3102 0.0000 0.0000
0.0000 4.3066 0.1678
0.0000 -0.3416 8.7621
Li Pd O
4 4 8
Cartesian
1.0777 4.1784 3.4536
3.2325 -0.2135 5.4763
1.0777 2.1106 1.1793
3.2325 1.8543 7.7506
1.0776 1.9398 5.5601
3.2326 2.0252 3.3699
1.0776 -0.2989 7.6668
3.2326 4.2638 1.2631
3.2329 4.0024 7.9681
1.0773 -0.0375 0.9618
3.2329 1.9450 5.4267
1.0773 2.0199 3.5032
3.2327 2.1053 1.3130
1.0775 1.8596 7.6169
3.2327 -0.1229 3.1523
1.0775 4.0878 5.7776
```

**Crystal system**: tetragonal
**Symmetry**: I4_1/amd
**Magnetization**: 0.000 μB per formula unit

=====

Entry 3:
Here is a geometry-optimized LiPdO2 structure from Alexandria via LeMat-Bulk. Energies are from GGA-PBE.

```
LiPdO2
1.0
-0.2498 0.3500 3.7320
-1.4456 3.1258 1.5009
-3.3609 -0.1013 1.6754
O Pd Li
2 1 1
Cartesian
-1.2641 0.8436 1.7271
-3.7922 2.5308 5.1812
-2.5281 1.6872 3.4541
0.0000 0.0000 0.0000
```

**Crystal system**: cubic
**Symmetry**: Fm-3m
**Magnetization**: 0.000 μB per formula unit

=====

Entry 4:
Here is a geometry-optimized LiPd4O8 structure from Alexandria via LeMat-Bulk. Energies are from GGA-PBE.

```
LiPd4O8
1.0
-4.6603 -4.0664 -0.8476
4.9131 -1.4672 3.5611
-2.9642 4.5512 2.5465
Li Pd O
1 4 8
Cartesian
0.9744 1.5420 3.0538
0.0627 -1.3733 0.6734
0.1900 -4.1602 2.0400
2.4784 -2.0788 2.5405
-5.1899 1.0965 2.7194
-3.5854 -1.9219 0.0986
1.1948 -0.4814 2.2339
-1.1768 -2.6453 1.7257
-1.2660 0.1611 0.4464
-1.4455 -1.1434 4.8136
-1.5347 1.6630 3.5342
-3.9063 -0.5010 3.0261
0.8740 0.9395 5.1613
```

**Crystal system**: monoclinic
**Symmetry**: C2/m
**Magnetization**: 0.004 μB per formula unit

=====

Entry 5:
Here is a geometry-optimized Li2PdO2 structure from Alexandria via LeMat-Bulk. Energies are from GGA-PBE.

```
Li2PdO2
1.0
5.6627 0.0000 0.0000
0.0000 5.6627 0.0000
0.0000 0.0000 2.9723
O Pd Li
4 2 4
Cartesian
1.8531 4.6845 0.0000
4.6845 3.8096 0.0000
3.8096 0.9782 0.0000
0.9782 1.8531 0.0000
0.0000 0.0000 0.0000
2.8313 2.8313 0.0000
0.7898 3.6211 1.4862
3.6211 4.8729 1.4862
4.8729 2.0416 1.4862
2.0416 0.7898 1.4862
```

**Crystal system**: tetragonal
**Symmetry**: P4/mbm
**Magnetization**: 0.000 μB per formula unit

=====

Entry 6:
Here is a geometry-optimized LiPdO3 structure from Alexandria via LeMat-Bulk. Energies are from GGA-PBE.

```
LiPdO3
1.0
3.5325 0.0000 0.0000
0.0000 3.5325 0.0000
0.0000 0.0000 3.5325
O Pd Li
3 1 1
Cartesian
0.0000 1.7663 0.0000
0.0000 0.0000 1.7663
1.7663 0.0000 0.0000
1.7663 1.7663 1.7663
0.0000 0.0000 0.0000
```

**Crystal system**: cubic
**Symmetry**: Pm-3m
**Magnetization**: 0.000 μB per formula unit

=====

Entry 7:
Here is a geometry-optimized LiPdO3 structure from Alexandria via LeMat-Bulk. Energies are from GGA-PBE.

```
LiPdO3
1.0
3.9596 -0.0237 -0.0227
0.1582 3.9565 -0.0227
0.1582 0.1511 3.9537
Li Pd O
1 1 3
Cartesian
4.1193 3.9342 3.7651
2.3398 2.2347 2.1386
2.5493 2.4348 0.2216
2.5493 0.3283 2.4227
0.4451 2.5315 2.4227
```

**Crystal system**: trigonal
**Symmetry**: R3m
**Magnetization**: 0.999 μB per formula unit

=====

Entry 8:
Here is a geometry-optimized Li3PdO structure from Alexandria via LeMat-Bulk. Energies are from GGA-PBE.

```
Li3PdO
1.0
-1.7581 -0.6362 -3.4064
3.4579 -0.5726 -1.6778
-0.2273 -3.7904 0.8252
O Pd Li
1 1 3
Cartesian
0.0000 0.0000 0.0000
0.7362 -2.4996 -2.1295
1.7289 -0.2863 -0.8389
-0.1136 -1.8952 0.4126
-0.8791 -0.3181 -1.7032
```

**Crystal system**: cubic
**Symmetry**: Pm-3m
**Magnetization**: 0.000 μB per formula unit
**E above lowest polymorph**: 0.00 eV/f.u.

=====

Entry 9:
Here is a geometry-optimized LiPd3O structure from Alexandria via LeMat-Bulk. Energies are from GGA-PBE.

```
LiPd3O
1.0
4.2040 0.0000 0.0000
0.0000 4.2040 0.0000
0.0000 0.0000 4.2040
O Pd Li
1 3 1
Cartesian
0.0000 0.0000 0.0000
0.0000 2.1020 0.0000
0.0000 0.0000 2.1020
2.1020 0.0000 0.0000
2.1020 2.1020 2.1020
```

**Crystal system**: cubic
**Symmetry**: Pm-3m
**Magnetization**: 0.000 μB per formula unit
**E above lowest polymorph**: 0.00 eV/f.u.

=====

Entry 10:
Here is a geometry-optimized LiPdO2 structure from Alexandria via LeMat-Bulk. Energies are from GGA-PBE.

```
LiPdO2
1.0
-2.0945 3.7716 -1.0231
0.4610 -0.9142 -4.3140
-5.2455 -1.0184 -2.6232
O Pd Li
4 2 2
Cartesian
-2.5620 1.9871 -1.8341
-1.2858 -0.3532 -3.4803
-4.5465 0.3074 -3.9703
-5.3635 1.7368 -6.6359
0.0000 0.0000 0.0000
-4.0783 2.0910 -3.1574
-0.8167 1.4287 -2.6685
-2.8006 -0.2519 -4.8029
```

**Crystal system**: tetragonal
**Symmetry**: I-42d
**Magnetization**: 0.000 μB per formula unit

=====

Entry 11:
Here is a geometry-optimized Li2PdO structure from Alexandria via LeMat-Bulk. Energies are from GGA-PBE.

```
Li2PdO
1.0
6.6939 0.0000 0.0000
0.0000 6.6939 0.0000
3.3469 3.3469 2.1582
O Pd Li
2 2 4
Cartesian
3.3469 3.3469 0.0000
3.3469 6.6939 1.0791
0.0000 0.0000 0.0000
6.6939 3.3469 1.0791
4.1726 1.6735 0.5395
2.5213 5.0204 0.5395
5.0204 5.8682 1.6186
8.3674 7.5196 1.6186
```

**Crystal system**: tetragonal
**Symmetry**: I-42d
**Magnetization**: 0.000 μB per formula unit

=====

Entry 12:
Here is a geometry-optimized Li3PdO structure from Alexandria via LeMat-Bulk. Energies are from GGA-PBE.

```
Li3PdO
1.0
-4.4155 -1.4262 -0.0744
1.4263 -4.4161 0.0016
-0.0713 -0.0214 4.6401
O Pd Li
1 1 3
Cartesian
-1.5302 -2.9318 2.2836
0.0000 0.0000 0.0000
0.7132 -2.2080 0.0008
-0.0356 -0.0107 2.3200
-2.2077 -0.7131 -0.0372
```

**Crystal system**: cubic
**Symmetry**: Pm-3m
**Magnetization**: 1.000 μB per formula unit
**E above lowest polymorph**: 5.57 eV/f.u.

=====

Entry 13:
Here is a geometry-optimized Li2PdO2 structure from Alexandria via LeMat-Bulk. Energies are from GGA-PBE.

```
Li2PdO2
1.0
-3.0495 0.6226 -2.0251
0.6496 -1.6542 -4.8912
-2.5228 -6.0255 -1.4577
Li Pd O
4 2 4
Cartesian
-3.1093 -2.7104 -2.9598
-1.8135 -4.3467 -5.4142
-0.3221 -2.9684 -3.8319
-4.6007 -4.0886 -4.5421
-1.0217 -0.6949 -2.0794
-3.9010 -6.3621 -6.2946
-1.3245 -2.6695 -2.2306
-3.5983 -4.3876 -6.1434
-3.4216 -4.7148 -3.1057
-1.5011 -2.3422 -5.2683
```

**Crystal system**: monoclinic
**Symmetry**: C2/m
**Magnetization**: 0.000 μB per formula unit

=====

Entry 14:
Here is a geometry-optimized Li4PdO3 structure from Alexandria via LeMat-Bulk. Energies are from GGA-PBE.

```
Li4PdO3
1.0
4.0227 0.0000 0.0000
-2.0114 5.5296 -1.3133
0.0000 0.7796 7.1384
O Pd Li
6 2 8
Cartesian
2.2700 2.3582 5.7807
1.7528 1.9684 2.2115
0.1228 3.8411 3.5154
-0.1228 3.4513 -0.0538
-1.7517 5.6518 4.5157
1.7517 5.2620 0.9464
0.2662 5.8629 4.0672
-0.2662 5.4731 0.4980
0.3525 2.0371 6.3065
-0.3525 1.6473 2.7373
1.5904 2.6763 3.9947
2.4323 2.2865 0.4255
-0.7152 3.9215 5.2475
0.7152 3.5317 1.6783
-1.5568 4.7196 2.7674
1.5568 4.3298 -0.8018
```

**Crystal system**: monoclinic
**Symmetry**: Cc
**Magnetization**: 0.000 μB per formula unit

=====

Entry 15:
Here is a geometry-optimized Li3PdO2 structure from Alexandria via LeMat-Bulk. Energies are from GGA-PBE.

```
Li3PdO2
1.0
4.7791 0.0003 2.0066
-0.8780 4.3476 2.0904
0.2779 -0.0801 6.0341
Li Pd O
6 2 4
Cartesian
2.2862 1.0161 4.5972
-0.4966 3.2515 4.5306
1.8929 3.2517 5.5339
4.6756 1.0163 5.6006
1.0337 2.0938 7.5810
3.1454 2.1740 2.5501
2.3896 0.0002 1.0033
0.0000 0.0000 0.0000
2.8869 1.8635 6.5142
4.0365 0.6475 3.7754
0.1425 3.6203 6.3557
1.2922 2.4043 3.6170
```

**Crystal system**: orthorhombic
**Symmetry**: Ibam
**Magnetization**: 0.265 μB per formula unit

=====

Entry 16:
Here is a geometry-optimized LiPd3O structure from Alexandria via LeMat-Bulk. Energies are from GGA-PBE.

```
LiPd3O
1.0
-3.9512 -0.7374 1.3649
0.1980 -3.9438 -1.5574
1.5387 -1.3860 3.7054
O Pd Li
1 3 1
Cartesian
-1.1072 -3.0336 1.7565
0.0990 -1.9719 -0.7787
0.7694 -0.6930 1.8527
-1.9756 -0.3687 0.6825
0.0000 0.0000 0.0000
```

**Crystal system**: cubic
**Symmetry**: Pm-3m
**Magnetization**: 1.265 μB per formula unit
**E above lowest polymorph**: 5.45 eV/f.u.

=====

Entry 17:
Here is a geometry-optimized LiPd2O3 structure from Alexandria via LeMat-Bulk. Energies are from GGA-PBE.

```
LiPd2O3
1.0
4.6887 0.0000 0.0000
0.0000 5.3549 -3.0916
0.0000 0.0000 6.1833
Li Pd O
2 4 6
Cartesian
2.4538 3.5699 0.0000
2.2349 1.7850 3.0916
0.0000 0.0000 0.0000
0.0000 2.6774 1.5458
0.0000 2.6774 -1.5458
0.0000 0.0000 3.0916
3.6756 1.8250 0.0000
3.6756 4.4424 1.5111
3.6756 4.4424 -1.5111
1.0130 0.9125 4.6028
1.0130 3.5299 3.0916
1.0130 0.9125 1.5805
```

**Crystal system**: trigonal
**Symmetry**: P-3m1
**Magnetization**: 0.000 μB per formula unit

=====

Entry 18:
Here is a geometry-optimized LiPd2O4 structure from Alexandria via LeMat-Bulk. Energies are from GGA-PBE.

```
LiPd2O4
1.0
0.1292 4.1610 -4.6859
-4.4067 3.1173 3.1861
0.9328 5.8073 1.3075
Li Pd O
2 4 8
Cartesian
-1.8728 9.9605 -1.2477
-1.4720 3.1251 1.0554
-1.6724 6.5428 -0.0962
0.5310 4.9841 -1.6892
0.0000 0.0000 0.0000
0.0646 2.0805 -2.3429
-2.5903 9.1924 2.6743
-0.7545 3.8932 -2.8667
-2.8073 6.3461 1.5878
-0.5965 4.8648 0.3398
-0.1759 7.4776 0.9286
-2.7482 8.2207 -0.5321
-0.5375 6.7394 -1.7801
-3.1689 5.6079 -1.1209
```

**Crystal system**: orthorhombic
**Symmetry**: Imma
**Magnetization**: 0.992 μB per formula unit

=====

Entry 19:
Here is a geometry-optimized Li5Pd3O8 structure from Alexandria via LeMat-Bulk. Energies are from GGA-PBE.

```
Li5Pd3O8
1.0
-4.4110 0.8339 4.1209
-2.8750 -4.8067 2.4009
0.8475 -1.5132 5.7189
Li Pd O
5 3 8
Cartesian
-2.2055 0.4169 2.0605
-3.6430 -1.9864 3.2609
0.0000 0.0000 0.0000
-1.4375 -2.4034 1.2004
-3.2192 -2.7430 6.1203
-1.7817 -0.3396 4.9199
0.4237 -0.7566 2.8594
-1.0137 -3.1599 4.0599
-1.1969 -2.0993 5.8155
-2.6895 -4.5950 7.0620
-3.4871 -1.6664 7.9551
-4.8616 -4.1126 9.1450
-5.2416 -3.3867 6.4252
-3.7489 -0.8910 5.1786
-2.9514 -3.8196 4.2856
-1.5768 -1.3734 3.0957
```

**Crystal system**: trigonal
**Symmetry**: R-3m
**Magnetization**: 0.898 μB per formula unit

=====

Entry 20:
Here is a geometry-optimized LiPd2O structure from Alexandria via LeMat-Bulk. Energies are from GGA-PBE.

```
LiPd2O
1.0
-2.3418 4.6593 -0.0631
-4.5880 -2.2932 0.9425
-2.5226 1.7370 6.3745
O Pd Li
2 4 2
Cartesian
0.0000 0.0000 0.0000
-4.1646 3.7897 3.3755
-3.2556 4.2292 1.6561
-5.5448 3.0731 2.1275
-3.3389 2.7657 4.8740
-4.5192 5.0906 4.8444
-3.4649 1.1830 0.4397
-5.2877 0.3135 3.8783
```

**Crystal system**: tetragonal
**Symmetry**: I-42d
**Magnetization**: 0.000 μB per formula unit

=====

Record-wise formation energy (no corrections) values, in kcal/mol of atoms: -22.28; -22.24; -12.11; -11.61; -26.37; 8.15; -9.95; -22.01; -3.96; -16.29; -21.45; 3.69; -28.74; -32.02; -31.73; 21.16; -16.33; -16.98; -26.49; -5.17
Record-wise raw total energy values, in eV per cell: -89.31; -83.53; -19.12; -68.90; -49.31; -20.21; -24.14; -20.67; -23.31; -39.70; -35.40; -15.09; -50.33; -77.66; -58.21; -17.86; -62.84; -74.57; -83.19; -36.31